## Zr2Mn3Ir (PBE-GGA)

Data for Zr2Mn3Ir after structural relaxation.

abc: 5.1212 5.1212 5.1212
angles: 59.16 59.16 59.16
Last column: nearest neighbours and their distance in Å.
Positions (direct):
1 Zr 0.1242 0.1242 0.1242  3 Ir 2.97, 9 Mn 2.97-3.02, 4 Zr 3.11-3.13
2 Zr 0.8758 0.8758 0.8758  3 Ir 2.97, 9 Mn 2.97-3.02, 4 Zr 3.11-3.13
3 Mn 0.0000 0.5000 0.5000  4 Mn 2.53, 2 Ir 2.56
4 Mn 0.5000 0.0000 0.5000  4 Mn 2.53, 2 Ir 2.56
5 Mn 0.5000 0.5000 0.0000  4 Mn 2.53, 2 Ir 2.56
6 Ir 0.5000 0.5000 0.5000  6 Mn 2.56

Properties
As for the total magnetization: 5.04 μB per cell. The value obtained for the density of states at the Fermi level is 4.41 states/eV/f.u. Its symmetry is R-3m. Its total energy is -55.865 eV per cell. The value obtained for the calculated density is 9.61 g/cm³.



## Ac2RhAu (PBE-GGA)

Data for Ac2RhAu after structural relaxation.

abc: 4.3641 4.3641 7.8975
angles: 105.88 105.88 59.69
Last column: nearest neighbours and their distance in Å.
Positions (direct):
1 Ac 0.2402 0.2402 0.2220  3 Rh 3.01-3.02, 3 Au 3.26-3.27
2 Ac 0.7598 0.7598 0.7780  3 Rh 3.01-3.02, 3 Au 3.26-3.27
3 Rh 0.5000 0.5000 0.0000  6 Ac 3.01-3.02
4 Au 0.0000 0.0000 0.5000  6 Ac 3.26-3.27

Properties
As for the total magnetization: 0.00 μB per cell. The value obtained for the density of states at the Fermi level is 2.14 states/eV/f.u. Its symmetry is C2/m. Its total energy is -21.898 eV per cell. The value obtained for the calculated density is 10.16 g/cm³.



## TiZn4Cu8 (PBE-GGA)

Data for TiZn4Cu8 after structural relaxation.

abc: 2.6363 4.1857 15.7361
angles: 90.00 90.00 90.00
Last column: nearest neighbours and their distance in Å.
Positions (direct):
1 Ti 0.0000 0.0000 0.0000  5 Cu 2.57-2.69, 2 Ti 2.64
2 Zn 0.0000 0.0000 0.2886  8 Cu 2.47-2.56, 2 Zn 2.64
3 Zn 0.0000 0.5000 0.4429  8 Cu 2.50-2.74, 2 Zn 2.64
4 Zn 0.5000 0.0000 0.6943  10 Cu 2.56-2.61, 2 Zn 2.64
5 Zn 0.5000 0.5000 0.9018  2 Zn 2.64, 6 Cu 2.68-2.83, 4 Ti 2.92
6 Cu 0.0000 0.0000 0.5549  8 Cu 2.48-2.64, 4 Zn 2.56-2.74
7 Cu 0.0000 0.0000 0.8365  4 Cu 2.56-2.64, 1 Ti 2.57, 6 Zn 2.60-2.68
8 Cu 0.0000 0.5000 0.1064  8 Cu 2.56-2.64, 2 Ti 2.68
9 Cu 0.0000 0.5000 0.7426  6 Cu 2.56-2.67, 6 Zn 2.59-2.83
10 Cu 0.5000 0.0000 0.1489  8 Cu 2.56-2.64, 2 Zn 2.56, 2 Ti 2.69
11 Cu 0.5000 0.0000 0.4214  6 Zn 2.47-2.50, 4 Cu 2.48-2.64
12 Cu 0.5000 0.5000 0.2516  4 Zn 2.54, 6 Cu 2.64
13 Cu 0.5000 0.5000 0.5950  8 Cu 2.55-2.67, 4 Zn 2.61-2.73

Properties
As for the total magnetization: 0.00 μB per cell. The value obtained for the density of states at the Fermi level is 5.27 states/eV/f.u. Its symmetry is Pmm2. Its total energy is -45.698 eV per cell. The value obtained for the calculated density is 7.82 g/cm³.



## ZrNiAu3 (PBE-GGA)

Data for ZrNiAu3 after structural relaxation.

abc: 4.7129 4.7129 4.7129
angles: 90.00 90.00 90.00
Last column: nearest neighbours and their distance in Å.
Positions (direct):
1 Zr 0.0000 0.0000 0.0000  12 Au 3.33
2 Ni 0.5000 0.5000 0.5000  6 Au 2.36
3 Au 0.0000 0.5000 0.5000  2 Ni 2.36
4 Au 0.5000 0.0000 0.5000  2 Ni 2.36
5 Au 0.5000 0.5000 0.0000  2 Ni 2.36

Properties
As for the total magnetization: 1.54 μB per cell. The value obtained for the density of states at the Fermi level is 8.23 states/eV/f.u. Its symmetry is Pm-3m. The value obtained for the calculated density is 11.75 g/cm³. Its distance to the lowest polymorph of the same formula is 0.0 meV/atom.



## NaPm2P3Pt12 (PBE-GGA)

Data for NaPm2P3Pt12 after structural relaxation.

abc: 7.0863 7.0863 7.0863
angles: 77.57 77.57 77.57
Last column: nearest neighbours and their distance in Å.
Positions (direct):
1 Na 0.0000 0.0000 0.0000  6 Pt 2.66
2 Pm 0.3900 0.3900 0.3900  3 Pt 2.67
3 Pm 0.6100 0.6100 0.6100  3 Pt 2.67
4 P 0.0000 0.0000 0.5000  6 Pt 2.26-2.42
5 P 0.0000 0.5000 0.0000  6 Pt 2.26-2.42
6 P 0.5000 0.0000 0.0000  6 Pt 2.26-2.42
7 Pt 0.1095 0.6734 0.6734  2 P 2.42
8 Pt 0.1599 0.1599 0.6419  1 P 2.26
9 Pt 0.1599 0.6419 0.1599  1 P 2.26
10 Pt 0.3266 0.3266 0.8905  2 P 2.42
11 Pt 0.3266 0.8905 0.3266  2 P 2.42
12 Pt 0.3581 0.8401 0.8401  1 P 2.26
13 Pt 0.6419 0.1599 0.1599  1 P 2.26
14 Pt 0.6734 0.1095 0.6734  2 P 2.42
15 Pt 0.6734 0.6734 0.1095  2 P 2.42
16 Pt 0.8401 0.3581 0.8401  1 P 2.26
17 Pt 0.8401 0.8401 0.3581  1 P 2.26
18 Pt 0.8905 0.3266 0.3266  2 P 2.42

Properties
As for the total magnetization: 0.00 μB per cell. The value obtained for the density of states at the Fermi level is 6.10 states/eV/f.u. Its symmetry is R-3m. Its total energy is -106.874 eV per cell. The value obtained for the calculated density is 13.66 g/cm³.



## SrScOs2 (PBE-GGA)

Data for SrScOs2 after structural relaxation.

abc: 4.7798 4.7798 4.7798
angles: 60.00 60.00 60.00
Last column: nearest neighbours and their distance in Å.
Positions (direct):
1 Sr 0.0000 0.0000 0.0000  8 Os 2.93
2 Sc 0.5000 0.5000 0.5000  8 Os 2.93
3 Os 0.2500 0.2500 0.2500  4 Sc 2.93, 4 Sr 2.93
4 Os 0.7500 0.7500 0.7500  4 Sc 2.93, 4 Sr 2.93

Properties
As for the total magnetization: 0.00 μB per cell. The value obtained for the density of states at the Fermi level is 4.61 states/eV/f.u. Its symmetry is Fm-3m. Its total energy is -27.871 eV per cell. The value obtained for the calculated density is 11.03 g/cm³.